Record 1
This record from Alexandria via LeMat-Bulk describes Tl3SbH after structural relaxation. The functional is PBE.

Lattice parameters (Å, degrees): 5.038 5.038 5.038 90.00 90.00 90.00
Positions (direct):
Tl 0.000 0.500 0.000
Tl 0.000 0.000 0.500
Tl 0.500 0.000 0.000
H 0.000 0.000 0.000
Sb 0.500 0.500 0.500

Output
The symmetry is Pm-3m, No. 221. As for the total energy: -2.752 eV/atom. The energy relative to the lowest polymorph listed for this composition comes out at 6 meV/atom.

***

Record 2
This record from Alexandria via LeMat-Bulk describes Tl3SbH after structural relaxation. The functional is PBE.

Lattice parameters (Å, degrees): 6.140 6.140 6.140 90.00 90.00 90.00
Positions (direct):
Tl 0.000 0.000 0.500
Tl 0.000 0.500 0.000
Tl 0.500 0.000 0.000
H 0.500 0.500 0.500
Sb 0.000 0.000 0.000

Output
The symmetry is Pm-3m, No. 221. As for the total energy: -2.210 eV/atom. The energy relative to the lowest polymorph listed for this composition comes out at 548 meV/atom.

***

Record 3
This record from Alexandria via LeMat-Bulk describes TlSbH after structural relaxation. The functional is PBE.

Lattice parameters (Å, degrees): 3.232 4.516 5.687 90.54 74.47 69.06
Positions (direct):
Tl 0.293 0.213 0.166
Sb 0.233 0.802 0.665
H 0.424 0.391 0.697

Output
The symmetry is P1, No. 1. As for the total energy: -3.080 eV/atom. The energy relative to the lowest polymorph listed for this composition comes out at 0 meV/atom.

***

Record 4
This record from Alexandria via LeMat-Bulk describes TlSbH after structural relaxation. The functional is PBE.

Lattice parameters (Å, degrees): 3.290 3.290 6.146 90.00 90.00 90.00
Positions (direct):
H 0.000 0.000 0.500
Tl 0.500 0.500 0.500
Sb 0.500 0.500 0.000

Output
The symmetry is P4/mmm, No. 123. As for the total energy: -2.916 eV/atom. The energy relative to the lowest polymorph listed for this composition comes out at 164 meV/atom.

***

Record 5
This record from Alexandria via LeMat-Bulk describes Tl3SbH after structural relaxation. The functional is PBE.

Lattice parameters (Å, degrees): 4.782 7.093 8.043 102.44 90.00 90.00
Positions (direct):
H 0.250 0.858 0.434
H 0.750 0.142 0.566
Tl 0.250 0.936 0.682
Tl 0.250 0.755 0.085
Tl 0.750 0.064 0.318
Tl 0.750 0.616 0.374
Tl 0.750 0.245 0.915
Tl 0.250 0.384 0.626
Sb 0.250 0.307 0.221
Sb 0.750 0.693 0.779

Output
The symmetry is P2_1/m, No. 11. As for the total energy: -2.758 eV/atom. The energy relative to the lowest polymorph listed for this composition comes out at 0 meV/atom.

***

Record 6
This record from Alexandria via LeMat-Bulk describes Tl3Sb2H4 after structural relaxation. The functional is PBE.

Lattice parameters (Å, degrees): 21.725 8.121 8.121 49.39 33.78 33.78
Positions (direct):
Sb 0.959 0.594 0.197
Sb 0.459 0.197 0.594
Sb 0.541 0.803 0.406
Sb 0.041 0.406 0.803
H 0.992 0.071 0.480
H 0.497 0.016 0.949
H 0.997 0.949 0.016
H 0.508 0.520 0.929
H 0.008 0.929 0.520
H 0.003 0.051 0.984
H 0.492 0.480 0.071
H 0.503 0.984 0.051
Tl 0.250 0.503 0.497
Tl 0.785 0.839 0.801
Tl 0.215 0.161 0.199
Tl 0.750 0.497 0.503
Tl 0.715 0.199 0.161
Tl 0.285 0.801 0.839

Output
The symmetry is C2/c, No. 15. As for the total energy: -3.085 eV/atom.